A) An optimized crystal structure of Zn2Ga2F, computed with PBE.

Cell lengths 7.2923, 7.2923, 3.2304 Å; angles 90.00, 90.00, 90.00 degrees
Fractional coordinates of all 10 atoms:
Zn 0.1865 0.3135 0.0000
Zn 0.3135 0.8135 0.0000
Zn 0.6865 0.1865 0.0000
Zn 0.8135 0.6865 0.0000
Ga 0.1229 0.6229 0.5000
Ga 0.3771 0.1229 0.5000
Ga 0.6229 0.8771 0.5000
Ga 0.8771 0.3771 0.5000
F 0.0000 0.0000 0.0000
F 0.5000 0.5000 0.0000

Values from the calculation:
Total moment ... 0.0 μB/f.u.

***

B) An optimized crystal structure of Zn2Ga2F, computed with PBE.

Cell lengths 7.2567, 7.2567, 7.2567 Å; angles 150.57, 150.57, 42.10 degrees
Fractional coordinates of all 5 atoms:
Zn 0.0892 0.0892 0.0000
Zn 0.9108 0.9108 0.0000
Ga 0.2500 0.7500 0.5000
Ga 0.7500 0.2500 0.5000
F 0.5000 0.5000 0.0000

Values from the calculation:
Total moment ... 0.0 μB/f.u.

***

Verdict on stability: A) comes out on top.

***

A) An optimized crystal structure of Zr2GaF, computed with PBE.

Cell lengths 7.4675, 7.4675, 7.4675 Å; angles 140.09, 140.09, 57.71 degrees
Fractional coordinates of all 8 atoms:
Zr 0.0464 0.6250 0.9214
Zr 0.3750 0.2964 0.4214
Zr 0.7036 0.1250 0.0786
Zr 0.8750 0.9536 0.5786
Ga 0.2500 0.7500 0.5000
Ga 0.5000 0.5000 0.0000
F 0.0000 0.0000 0.0000
F 0.7500 0.2500 0.5000

Values from the calculation:
Total moment ... 0.0 μB/f.u.

***

B) An optimized crystal structure of Zr2GaF, computed with PBE.

Cell lengths 4.6331, 4.6331, 4.6331 Å; angles 60.00, 60.00, 60.00 degrees
Fractional coordinates of all 4 atoms:
Zr 0.2500 0.2500 0.2500
Zr 0.7500 0.7500 0.7500
Ga 0.0000 0.0000 0.0000
F 0.5000 0.5000 0.5000

Values from the calculation:
Total moment ... 0.0 μB/f.u.

***

Verdict on stability: B) comes out on top.